(1)
First-principles (GGA-PBEsol) data for a relaxed K2RbCO3F crystal, as listed in Alexandria.

Cell and atoms, written as POSCAR:
```
K2RbCO3F
1.0
-3.259 1.300 -5.975
-4.603 -4.871 -1.762
-6.776 1.926 0.659
K O F C Rb
4 6 2 2 2
Direct
0.671 0.329 0.000
0.170 0.248 0.077
0.327 0.673 0.500
0.752 0.830 0.923
0.921 0.079 0.500
0.254 0.575 0.174
0.082 0.918 0.000
0.740 0.413 0.320
0.587 0.260 0.680
0.425 0.746 0.826
0.002 0.505 0.764
0.495 0.998 0.236
0.253 0.747 0.000
0.749 0.251 0.500
0.255 0.183 0.567
0.817 0.745 0.433
```

Values from the calculation:
- DFT total energy (eV/atom) = -5.827
- size of the total moment (μB per formula unit) = 0.00
- E_form (uncorrected) (eV/atom) = -2.001
- volume (Å³/atom) = 16.8



(2)
First-principles (GGA-PBEsol) data for a relaxed Mg2Al2Zn crystal, as listed in Alexandria.

Cell and atoms, written as POSCAR:
```
Mg2Al2Zn
1.0
-2.606 1.607 3.220
-4.474 -4.619 -1.316
2.871 -4.014 4.327
Mg Al Zn
4 4 2
Direct
0.500 0.334 0.166
0.500 0.834 0.334
0.500 0.166 0.666
0.500 0.666 0.834
0.000 0.140 0.360
0.000 0.360 0.860
0.000 0.640 0.140
0.000 0.860 0.640
0.000 0.500 0.500
0.000 0.000 0.000
```

Values from the calculation:
- DFT total energy (eV/atom) = -2.600
- size of the total moment (μB per formula unit) = 0.00
- volume (Å³/atom) = 19.1



(3)
First-principles (GGA-PBEsol) data for a relaxed Gd3MgAlS7 crystal, as listed in Alexandria.

Cell and atoms, written as POSCAR:
```
Gd3MgAlS7
1.0
6.084 0.000 0.000
0.000 9.641 0.000
0.000 -4.820 8.349
S Gd Mg Al
14 6 2 2
Direct
0.502 0.430 0.520
0.002 0.520 0.090
0.522 0.667 0.333
0.002 0.570 0.480
0.809 0.142 0.896
0.022 0.333 0.667
0.809 0.104 0.246
0.502 0.090 0.570
0.309 0.246 0.142
0.809 0.754 0.858
0.309 0.896 0.754
0.002 0.910 0.430
0.502 0.480 0.910
0.309 0.858 0.104
0.734 0.847 0.621
0.234 0.226 0.847
0.734 0.774 0.153
0.234 0.153 0.379
0.234 0.621 0.774
0.734 0.379 0.226
0.050 0.000 0.000
0.550 0.000 0.000
0.156 0.667 0.333
0.656 0.333 0.667
```

Values from the calculation:
- DFT total energy (eV/atom) = -8.467
- size of the total moment (μB per formula unit) = 20.99
- E_form (uncorrected) (eV/atom) = -1.813
- volume (Å³/atom) = 20.4



(4)
First-principles (GGA-PBEsol) data for a relaxed ZrScIr4 crystal, as listed in Alexandria.

Cell and atoms, written as POSCAR:
```
ZrScIr4
1.0
-0.046 -3.013 -4.219
-0.309 -5.152 0.496
-4.343 -2.480 -1.368
Sc Ir Zr
1 4 1
Direct
0.750 0.750 0.750
0.874 0.375 0.375
0.375 0.874 0.375
0.375 0.375 0.375
0.375 0.375 0.874
0.000 0.000 0.000
```

Values from the calculation:
- DFT total energy (eV/atom) = -9.877
- size of the total moment (μB per formula unit) = 0.00
- volume (Å³/atom) = 16.4